{"formula": "BaWCl", "functional": "PBE", "state": "optimized geometry", "lattice_angstrom": [[3.2764, 0.0000, 0.0000], [-1.6382, 2.8374, 0.0000], [0.0000, 0.0000, 7.7533]], "species": ["Cl", "Ba", "W"], "fractional_positions": [[0.6667, 0.3333, 0.4041], [0.0000, 0.0000, 0.9869], [0.3333, 0.6667, 0.6090]], "space_group": "P3m1 (156)", "volume_a3_per_fu": 72.1, "raw_formation_energy_mev_per_atom": 675}